First-principles (PBE-GGA) data for an optimized crystal structure of PaO2F6, as listed in Alexandria.

Its formation energy from raw total energies is -1.975 eV/atom. The raw total energy is -96.83 eV for the cell shown.

Geometry as extended XYZ:
```
18
Lattice="6.248 -4.625 0.000 6.248 4.625 0.000 -1.910 0.000 4.609" Properties=species:S:1:pos:R:3 pbc="T T T"
Pa 4.815 3.007 3.456
Pa 5.770 -3.007 1.152
O 3.129 0.051 1.537
O 2.174 -0.051 3.841
O 8.411 0.051 0.767
O 7.456 -0.051 3.072
F -0.135 0.560 3.063
F 2.771 2.625 3.647
F 0.820 -0.560 0.759
F 4.656 1.375 2.058
F 6.859 2.625 3.265
F 6.884 1.375 0.247
F 3.701 -1.375 4.362
F 3.726 -2.625 1.343
F 5.929 -1.375 2.551
F 9.765 0.560 3.849
F 7.814 -2.625 0.961
F 10.720 -0.560 1.545
```

---

First-principles (PBE-GGA) data for an optimized crystal structure of PaOF, as listed in Alexandria.

Its formation energy from raw total energies is -2.936 eV/atom. The raw total energy is -25.13 eV for the cell shown.

Geometry as extended XYZ:
```
3
Lattice="3.899 0.000 0.000 -1.949 3.376 0.000 0.000 0.000 3.672" Properties=species:S:1:pos:R:3 pbc="T T T"
Pa 0.000 0.000 0.000
O 0.000 2.251 3.218
F 1.949 1.125 0.980
```

---

First-principles (PBE-GGA) data for an optimized crystal structure of Pa2PdO6F3, as listed in Alexandria.

Its formation energy from raw total energies is -2.327 eV/atom. The raw total energy is -87.47 eV for the cell shown.

Geometry as extended XYZ:
```
12
Lattice="3.243 -5.447 0.000 3.243 5.447 0.000 -0.619 0.000 4.428" Properties=species:S:1:pos:R:3 pbc="T T T"
Pa 3.243 3.584 0.000
Pa 3.243 -3.584 0.000
Pd 3.243 0.000 0.000
O 1.523 1.669 3.900
O 1.179 0.000 0.851
O 1.523 -1.669 3.900
O 4.344 1.669 0.527
O 4.688 0.000 3.577
O 4.344 -1.669 0.527
F -0.309 0.000 2.214
F 2.934 2.966 2.214
F 2.934 -2.966 2.214
```

---

First-principles (PBE-GGA) data for an optimized crystal structure of PaPtO4F, as listed in Alexandria.

Its formation energy from raw total energies is -2.104 eV/atom. The raw total energy is -103.94 eV for the cell shown.

Geometry as extended XYZ:
```
14
Lattice="-3.155 3.548 4.941 3.155 -3.548 4.941 3.155 3.548 -4.941" Properties=species:S:1:pos:R:3 pbc="T T T"
Pa 0.000 0.000 0.000
Pa 0.000 3.548 0.000
Pt -1.577 1.774 2.471
Pt 1.577 1.774 2.471
O 1.396 1.774 0.444
O 1.759 -1.774 5.385
O 0.000 0.492 2.302
O 3.155 0.492 2.640
O 0.000 3.055 2.302
O 3.155 3.055 2.640
O 1.396 5.321 -0.444
O 1.759 1.774 4.497
F 3.155 -1.774 3.453
F 0.000 5.321 1.488
```

---

First-principles (PBE-GGA) data for an optimized crystal structure of Rb2Pa2O5F2, as listed in Alexandria.

Its formation energy from raw total energies is -3.269 eV/atom. The raw total energy is -85.42 eV for the cell shown.

Geometry as extended XYZ:
```
11
Lattice="-2.146 2.146 11.938 2.146 -2.146 11.938 2.146 2.146 -11.938" Properties=species:S:1:pos:R:3 pbc="T T T"
Rb 0.000 0.000 4.512
Rb 0.000 0.000 19.363
Pa 0.000 0.000 9.815
Pa 0.000 0.000 14.060
O 2.146 0.000 2.424
O 2.146 0.000 9.514
O 0.000 0.000 11.938
O 0.000 2.146 2.424
O 0.000 2.146 9.514
F 0.000 0.000 7.412
F 0.000 0.000 16.463
```

---

First-principles (PBE-GGA) data for an optimized crystal structure of Rb3Pa2O5F2, as listed in Alexandria.

Its formation energy from raw total energies is -3.037 eV/atom. The raw total energy is -86.88 eV for the cell shown.

Geometry as extended XYZ:
```
12
Lattice="-2.211 2.211 11.903 2.211 -2.211 11.903 2.211 2.211 -11.903" Properties=species:S:1:pos:R:3 pbc="T T T"
Rb 0.000 0.000 0.000
Rb 0.000 0.000 4.460
Rb 0.000 0.000 19.347
Pa 0.000 0.000 9.694
Pa 0.000 0.000 14.112
O 2.211 0.000 2.345
O 2.211 0.000 9.558
O 0.000 0.000 11.903
O 0.000 2.211 2.345
O 0.000 2.211 9.558
F 0.000 0.000 7.313
F 0.000 0.000 16.493
```

---

First-principles (PBE-GGA) data for an optimized crystal structure of Rb2PaO3F3, as listed in Alexandria.

Its formation energy from raw total energies is -2.568 eV/atom. The raw total energy is -55.03 eV for the cell shown.

Geometry as extended XYZ:
```
9
Lattice="6.978 0.000 0.000 -3.489 6.043 0.000 0.000 0.000 3.683" Properties=species:S:1:pos:R:3 pbc="T T T"
Rb 0.000 4.029 0.000
Rb 3.489 2.014 0.000
Pa 0.000 0.000 1.841
O -0.707 1.224 0.000
O 1.413 0.000 0.000
O 2.782 4.819 0.000
F -2.335 4.044 1.841
F 1.154 1.999 1.841
F 4.670 0.000 1.841
```

---

First-principles (PBE-GGA) data for an optimized crystal structure of RbPa2O5F, as listed in Alexandria.

Its formation energy from raw total energies is -3.370 eV/atom. The raw total energy is -76.95 eV for the cell shown.

Geometry as extended XYZ:
```
9
Lattice="4.315 0.000 0.000 0.000 4.315 0.000 0.000 0.000 9.066" Properties=species:S:1:pos:R:3 pbc="T T T"
Rb 0.000 0.000 0.000
Pa 2.157 2.157 2.205
Pa 2.157 2.157 6.862
O 0.000 2.157 2.144
O 0.000 2.157 6.923
O 2.157 0.000 2.144
O 2.157 0.000 6.923
O 2.157 2.157 0.000
F 2.157 2.157 4.533
```